Entry 1:
A PBEsol-optimized structure of Ca2YZr. Source: Alexandria via LeMat-Bulk, functional SCAN.

Unit cell a=4.7700 b=4.7700 c=5.2983 alpha=90.00 beta=90.00 gamma=90.00
Atoms (fractional coordinates):
Ca  0.0000  0.5000  0.0000
Ca  0.5000  0.0000  0.0000
Y  0.0000  0.0000  0.5000
Zr  0.5000  0.5000  0.5000

Values from the calculation:
The calculated volume comes out at 121 Å³/cell. For the energy above the most stable polymorph in this dataset, the calculation gives 0.029 eV per atom. The formation energy is 1.45 eV per formula unit. The size of the total moment is 2.93 μB/f.u.



Entry 2:
A PBEsol-optimized structure of CaY2Zr. Source: Alexandria via LeMat-Bulk, functional SCAN.

Unit cell a=4.9282 b=4.9282 c=4.7191 alpha=90.00 beta=90.00 gamma=90.00
Atoms (fractional coordinates):
Ca  0.0000  0.0000  0.0000
Y  0.0000  0.5000  0.5000
Y  0.5000  0.0000  0.5000
Zr  0.5000  0.5000  0.0000

Values from the calculation:
The calculated volume comes out at 115 Å³/cell. For the energy above the most stable polymorph in this dataset, the calculation gives 0.151 eV per atom. The formation energy is 1.25 eV per formula unit. The size of the total moment is 0.00 μB/f.u.



Entry 3:
A PBEsol-optimized structure of Ca2YZr. Source: Alexandria via LeMat-Bulk, functional SCAN.

Unit cell a=5.5568 b=5.5568 c=5.5568 alpha=60.00 beta=60.00 gamma=60.00
Atoms (fractional coordinates):
Ca  0.2500  0.2500  0.2500
Ca  0.7500  0.7500  0.7500
Y  0.0000  0.0000  0.0000
Zr  0.5000  0.5000  0.5000

Values from the calculation:
The calculated volume comes out at 121 Å³/cell. For the energy above the most stable polymorph in this dataset, the calculation gives 0.115 eV per atom. The formation energy is 1.80 eV per formula unit. The size of the total moment is 0.12 μB/f.u.



Entry 4:
A PBEsol-optimized structure of Ca2YZr. Source: Alexandria via LeMat-Bulk, functional SCAN.

Unit cell a=3.3405 b=5.9050 c=6.2055 alpha=90.00 beta=96.31 gamma=90.00
Atoms (fractional coordinates):
Ca  0.2447  0.0000  0.2579
Ca  0.7553  0.0000  0.7421
Y  0.5000  0.5000  0.0000
Zr  0.0000  0.5000  0.5000

Values from the calculation:
The calculated volume comes out at 122 Å³/cell. For the energy above the most stable polymorph in this dataset, the calculation gives 0.000 eV per atom. The formation energy is 1.34 eV per formula unit. The size of the total moment is 1.91 μB/f.u.



Entry 5:
A PBEsol-optimized structure of CaY2Zr. Source: Alexandria via LeMat-Bulk, functional SCAN.

Unit cell a=11.7089 b=11.7089 c=11.7089 alpha=16.92 beta=16.92 gamma=16.92
Atoms (fractional coordinates):
Ca  0.0000  0.0000  0.0000
Y  0.2412  0.2412  0.2412
Y  0.7588  0.7588  0.7588
Zr  0.5000  0.5000  0.5000

Values from the calculation:
The calculated volume comes out at 119 Å³/cell. For the energy above the most stable polymorph in this dataset, the calculation gives 0.000 eV per atom. The formation energy is 0.64 eV per formula unit. The size of the total moment is 0.44 μB/f.u.



Entry 6:
A PBEsol-optimized structure of CaY2Zr. Source: Alexandria via LeMat-Bulk, functional SCAN.

Unit cell a=3.3836 b=3.3836 c=10.2648 alpha=90.00 beta=90.00 gamma=90.00
Atoms (fractional coordinates):
Ca  0.0000  0.0000  0.0000
Y  0.0000  0.0000  0.5373
Y  0.5000  0.5000  0.2794
Zr  0.5000  0.5000  0.7484

Values from the calculation:
The calculated volume comes out at 118 Å³/cell. For the energy above the most stable polymorph in this dataset, the calculation gives 0.053 eV per atom. The formation energy is 0.85 eV per formula unit. The size of the total moment is 0.58 μB/f.u.



Entry 7:
A PBEsol-optimized structure of CaY2Zr. Source: Alexandria via LeMat-Bulk, functional SCAN.

Unit cell a=5.9348 b=5.9348 c=6.0974 alpha=98.92 beta=98.92 gamma=33.25
Atoms (fractional coordinates):
Ca  0.0000  0.0000  0.0000
Y  0.5117  0.5117  0.5252
Y  0.7580  0.7580  0.2642
Zr  0.2509  0.2509  0.7246

Values from the calculation:
The calculated volume comes out at 116 Å³/cell. For the energy above the most stable polymorph in this dataset, the calculation gives 0.090 eV per atom. The formation energy is 1.00 eV per formula unit. The size of the total moment is 0.00 μB/f.u.



Entry 8:
A PBEsol-optimized structure of Ca2YZr. Source: Alexandria via LeMat-Bulk, functional SCAN.

Unit cell a=6.8068 b=6.8068 c=3.3350 alpha=101.26 beta=101.26 gamma=120.98
Atoms (fractional coordinates):
Ca  0.0000  0.5000  0.0000
Ca  0.5000  0.0000  0.0000
Y  0.0000  0.0000  0.5000
Zr  0.5000  0.5000  0.5000

Values from the calculation:
The calculated volume comes out at 122 Å³/cell. For the energy above the most stable polymorph in this dataset, the calculation gives 0.008 eV per atom. The formation energy is 1.37 eV per formula unit. The size of the total moment is 1.68 μB/f.u.



Entry 9:
A PBEsol-optimized structure of CaZn2. Source: Alexandria via LeMat-Bulk, functional SCAN.

Unit cell a=5.6353 b=5.6353 c=5.6353 alpha=132.88 beta=100.04 gamma=98.35
Atoms (fractional coordinates):
Ca  0.3032  0.0532  0.2500
Ca  0.6968  0.9468  0.7500
Zn  0.0993  0.6634  0.4359
Zn  0.2724  0.3366  0.9359
Zn  0.7276  0.6634  0.0641
Zn  0.9007  0.3366  0.5641

Values from the calculation:
The calculated volume comes out at 120 Å³/cell. The formation energy is -1.08 eV per formula unit. The size of the total moment is 0.00 μB/f.u.



Entry 10:
A PBEsol-optimized structure of Ca5Zn4. Source: Alexandria via LeMat-Bulk, functional SCAN.

Unit cell a=9.1705 b=9.1705 c=6.5011 alpha=90.00 beta=90.00 gamma=120.00
Atoms (fractional coordinates):
Ca  0.0000  0.2783  0.2500
Ca  0.0000  0.7217  0.7500
Ca  0.2783  0.0000  0.2500
Ca  0.2783  0.2783  0.7500
Ca  0.3333  0.6667  0.0000
Ca  0.3333  0.6667  0.5000
Ca  0.6667  0.3333  0.0000
Ca  0.6667  0.3333  0.5000
Ca  0.7217  0.0000  0.7500
Ca  0.7217  0.7217  0.2500
Zn  0.0000  0.0000  0.0000
Zn  0.0000  0.0000  0.5000
Zn  0.0000  0.3838  0.7500
Zn  0.0000  0.6162  0.2500
Zn  0.3838  0.0000  0.7500
Zn  0.3838  0.3838  0.2500
Zn  0.6162  0.0000  0.2500
Zn  0.6162  0.6162  0.7500

Values from the calculation:
The calculated volume comes out at 473 Å³/cell. The formation energy is -1.35 eV per formula unit. The size of the total moment is 0.74 μB/f.u.



Entry 11:
A PBEsol-optimized structure of CaZn2. Source: Alexandria via LeMat-Bulk, functional SCAN.

Unit cell a=8.2954 b=8.2954 c=8.2954 alpha=151.58 beta=151.58 gamma=40.63
Atoms (fractional coordinates):
Ca  0.3750  0.6250  0.7500
Ca  0.6250  0.3750  0.2500
Zn  0.0443  0.7943  0.2500
Zn  0.2057  0.9557  0.2500
Zn  0.7943  0.0443  0.7500
Zn  0.9557  0.2057  0.7500

Values from the calculation:
The calculated volume comes out at 129 Å³/cell. The formation energy is -0.92 eV per formula unit. The size of the total moment is 0.00 μB/f.u.



Entry 12:
A PBEsol-optimized structure of CaZn2. Source: Alexandria via LeMat-Bulk, functional SCAN.

Unit cell a=5.8164 b=5.8164 c=5.8409 alpha=108.68 beta=108.68 gamma=43.13
Atoms (fractional coordinates):
Ca  0.1057  0.1057  0.3079
Ca  0.8943  0.8943  0.6921
Zn  0.2229  0.2229  0.8756
Zn  0.3987  0.3987  0.3047
Zn  0.6013  0.6013  0.6953
Zn  0.7771  0.7771  0.1244

Values from the calculation:
The calculated volume comes out at 127 Å³/cell. The formation energy is -0.94 eV per formula unit. The size of the total moment is 0.00 μB/f.u.



Entry 13:
A PBEsol-optimized structure of Ca5Zn3. Source: Alexandria via LeMat-Bulk, functional SCAN.

Unit cell a=9.0723 b=9.0723 c=9.0723 alpha=96.43 beta=96.43 gamma=140.91
Atoms (fractional coordinates):
Ca  0.0824  0.7859  0.8684
Ca  0.2141  0.0824  0.2965
Ca  0.2500  0.7500  0.5000
Ca  0.2859  0.5824  0.8684
Ca  0.4176  0.2859  0.7035
Ca  0.5824  0.7141  0.2965
Ca  0.7141  0.4176  0.1316
Ca  0.7500  0.2500  0.5000
Ca  0.7859  0.9176  0.7035
Ca  0.9176  0.2141  0.1316
Zn  0.1596  0.3404  0.5000
Zn  0.2500  0.2500  0.0000
Zn  0.3404  0.8404  0.1807
Zn  0.6596  0.1596  0.8193
Zn  0.7500  0.7500  0.0000
Zn  0.8404  0.6596  0.5000

Values from the calculation:
The calculated volume comes out at 444 Å³/cell. For the energy above the most stable polymorph in this dataset, the calculation gives 0.000 eV per atom. The formation energy is -1.34 eV per formula unit. The size of the total moment is 0.00 μB/f.u.